[1]
# Sc2SnRh6 | Alexandria | PBE-GGA | optimized geometry
data_Sc2SnRh6
_cell_length_a 7.939
_cell_length_b 7.939
_cell_length_c 2.958
_cell_angle_alpha 100.65
_cell_angle_beta 100.65
_cell_angle_gamma 56.75
_symmetry_space_group_name_H-M 'P 1'
_symmetry_Int_Tables_number 1
loop_
_symmetry_equiv_pos_as_xyz
'x,y,z'
loop_
_atom_site_label
_atom_site_type_symbol
_atom_site_fract_x
_atom_site_fract_y
_atom_site_fract_z
Sc1 Sc 0.163 0.163 0.163
Sc2 Sc 0.837 0.837 0.837
Sn1 Sn 0.500 0.500 0.500
Rh1 Rh 0.125 0.537 0.331
Rh2 Rh 0.204 0.796 0.000
Rh3 Rh 0.463 0.875 0.669
Rh4 Rh 0.537 0.125 0.331
Rh5 Rh 0.796 0.204 0.000
Rh6 Rh 0.875 0.463 0.669
# **V**: 152 Å³/cell
# **D(E_F)**: 8.053 states/eV per cell
# **Energy relative to the elements**: -338.8 meV/atom
# **E_tot**: -7.09 eV per atom
# **SG**: C2/m (12)

---

[2]
# Sc3SnRh | Alexandria | PBE-GGA | optimized geometry
data_Sc3SnRh
_cell_length_a 4.974
_cell_length_b 4.974
_cell_length_c 4.974
_cell_angle_alpha 90.00
_cell_angle_beta 90.00
_cell_angle_gamma 90.00
_symmetry_space_group_name_H-M 'P 1'
_symmetry_Int_Tables_number 1
loop_
_symmetry_equiv_pos_as_xyz
'x,y,z'
loop_
_atom_site_label
_atom_site_type_symbol
_atom_site_fract_x
_atom_site_fract_y
_atom_site_fract_z
Sc1 Sc 0.000 0.000 0.500
Sc2 Sc 0.000 0.500 0.000
Sc3 Sc 0.500 0.000 0.000
Sn1 Sn 0.500 0.500 0.500
Rh1 Rh 0.000 0.000 0.000
# **V**: 123 Å³/cell
# **D(E_F)**: 7.125 states/eV per cell
# **Energy relative to the elements**: -403.8 meV/atom
# **Polymorph energy (0 for the lowest one)**: 0.000 eV/atom
# **E_tot**: -6.47 eV per atom
# **SG**: Pm-3m (221)

---

[3]
# Sc2SnRh | Alexandria | PBE-GGA | optimized geometry
data_Sc2SnRh
_cell_length_a 7.572
_cell_length_b 7.572
_cell_length_c 6.022
_cell_angle_alpha 90.00
_cell_angle_beta 90.00
_cell_angle_gamma 90.00
_symmetry_space_group_name_H-M 'P 1'
_symmetry_Int_Tables_number 1
loop_
_symmetry_equiv_pos_as_xyz
'x,y,z'
loop_
_atom_site_label
_atom_site_type_symbol
_atom_site_fract_x
_atom_site_fract_y
_atom_site_fract_z
Sc1 Sc 0.201 0.750 0.125
Sc2 Sc 0.250 0.201 0.875
Sc3 Sc 0.250 0.299 0.375
Sc4 Sc 0.299 0.750 0.625
Sc5 Sc 0.701 0.250 0.625
Sc6 Sc 0.750 0.701 0.375
Sc7 Sc 0.750 0.799 0.875
Sc8 Sc 0.799 0.250 0.125
Sn1 Sn 0.000 0.000 0.500
Sn2 Sn 0.000 0.500 0.750
Sn3 Sn 0.500 0.000 0.250
Sn4 Sn 0.500 0.500 0.000
Rh1 Rh 0.000 0.000 0.000
Rh2 Rh 0.000 0.500 0.250
Rh3 Rh 0.500 0.000 0.750
Rh4 Rh 0.500 0.500 0.500
# **V**: 345 Å³/cell
# **D(E_F)**: 15.624 states/eV per cell
# **Energy relative to the elements**: -414.7 meV/atom
# **E_tot**: -6.42 eV per atom
# **SG**: I-42d (122)

---

[4]
# ScSn4Rh7 | Alexandria | PBE-GGA | optimized geometry
data_ScSn4Rh7
_cell_length_a 6.667
_cell_length_b 6.667
_cell_length_c 9.488
_cell_angle_alpha 124.46
_cell_angle_beta 124.46
_cell_angle_gamma 40.76
_symmetry_space_group_name_H-M 'P 1'
_symmetry_Int_Tables_number 1
loop_
_symmetry_equiv_pos_as_xyz
'x,y,z'
loop_
_atom_site_label
_atom_site_type_symbol
_atom_site_fract_x
_atom_site_fract_y
_atom_site_fract_z
Sc1 Sc 0.000 0.000 0.000
Sn1 Sn 0.281 0.281 0.659
Sn2 Sn 0.416 0.416 0.216
Sn3 Sn 0.584 0.584 0.784
Sn4 Sn 0.719 0.719 0.341
Rh1 Rh 0.072 0.072 0.319
Rh2 Rh 0.217 0.217 0.873
Rh3 Rh 0.358 0.358 0.441
Rh4 Rh 0.500 0.500 0.000
Rh5 Rh 0.642 0.642 0.559
Rh6 Rh 0.783 0.783 0.127
Rh7 Rh 0.928 0.928 0.681
# **V**: 220 Å³/cell
# **D(E_F)**: 5.086 states/eV per cell
# **Energy relative to the elements**: -341.8 meV/atom
# **E_tot**: -6.49 eV per atom
# **SG**: C2/m (12)